Density functional theory data (PBE) for crystalline KRb4Au3 at its relaxed geometry.

Unit cell a=4.845 b=5.050 c=15.383 alpha=90.00 beta=90.00 gamma=90.00
Space group Pmm2 (No. 25)
One atom of each set of equivalent atoms:
K (0.000, 0.000, 0.000) x1
Rb (0.000, 0.000, 0.611) x1
Rb (0.000, 0.500, 0.219) x1
Rb (0.500, 0.000, 0.395) x1
Rb (0.500, 0.500, 0.796) x1
Au (0.000, 0.500, 0.451) x1
Au (0.500, 0.000, 0.157) x1
Au (0.500, 0.500, 0.563) x1

Calculated values
Calculated volume in Å³/atom: 47.04
Fermi-level density of states in states/eV per cell: 2.481
Magnetization in μB/f.u.: 0.0
Calculated formation energy in eV per atom: -0.22

---

Density functional theory data (PBE) for crystalline Pa4Ga3Si at its relaxed geometry.

Unit cell a=3.946 b=4.233 c=10.791 alpha=90.00 beta=90.00 gamma=90.00
Space group Pmm2 (No. 25)
One atom of each set of equivalent atoms:
Pa (0.000, 0.000, 0.000) x1
Pa (0.000, 0.500, 0.491) x1
Pa (0.500, 0.000, 0.702) x1
Pa (0.500, 0.500, 0.210) x1
Ga (0.000, 0.500, 0.774) x1
Ga (0.500, 0.000, 0.424) x1
Ga (0.500, 0.500, 0.926) x1
Si (0.000, 0.000, 0.268) x1

Calculated values
Calculated volume in Å³/atom: 22.53
Fermi-level density of states in states/eV per cell: 15.322
Magnetization in μB/f.u.: 0.0
ΔE_f (raw) in eV/atom: -0.238

---

Density functional theory data (PBE) for crystalline Ca2TaCu at its relaxed geometry.

Unit cell a=5.494 b=5.494 c=3.213 alpha=90.00 beta=90.00 gamma=90.00
Space group P4/mmm (No. 123)
One atom of each set of equivalent atoms:
Ca (0.000, 0.500, 0.000) x2
Ta (0.000, 0.000, 0.500) x1
Cu (0.500, 0.500, 0.500) x1

Calculated values
Calculated volume in Å³/atom: 24.24
Fermi-level density of states in states/eV per cell: 3.082
Magnetization in μB/f.u.: 1.8
Calculated formation energy in eV per atom: 0.70

---

Density functional theory data (PBE) for crystalline ThNi2H at its relaxed geometry.

Unit cell a=3.711 b=7.284 c=4.380 alpha=90.00 beta=90.38 gamma=90.00
Space group P2_1/m (No. 11)
One atom of each set of equivalent atoms:
Th (0.003, 0.250, 0.200) x2
Ni (0.499, 0.575, 0.239) x4
H (0.494, 0.750, 0.464) x2

Calculated values
Calculated volume in Å³/atom: 14.80
Calculated total energy in eV/cell: -47.55
Fermi-level density of states in states/eV per cell: 3.938
Magnetization in μB/f.u.: 0.0

---

Density functional theory data (PBE) for crystalline CaFe2Ir at its relaxed geometry.

Unit cell a=9.379 b=3.071 c=5.083 alpha=90.00 beta=104.48 gamma=90.00
Space group C2/m (No. 12)
One atom of each set of equivalent atoms:
Ca (0.000, 0.000, 0.000) x2
Fe (0.219, 0.000, 0.646) x4
Ir (0.000, 0.500, 0.500) x2

Calculated values
Calculated volume in Å³/atom: 17.72
Fermi-level density of states in states/eV per cell: 6.920
Magnetization in μB/f.u.: 5.4
Calculated formation energy in eV per atom: 0.21

---

Density functional theory data (PBE) for crystalline Ba3Li4Pd2 at its relaxed geometry.

Unit cell a=5.082 b=6.465 c=9.029 alpha=72.73 beta=73.77 gamma=66.91
Space group P-1 (No. 2)
One atom of each set of equivalent atoms:
Ba (0.000, 0.000, 0.000) x1
Ba (0.398, 0.832, 0.371) x2
Li (0.122, 0.424, 0.332) x2
Li (0.289, 0.389, 0.032) x2
Pd (0.292, 0.665, 0.754) x2

Calculated values
Calculated volume in Å³/atom: 28.45
Fermi-level density of states in states/eV per cell: 6.435
Magnetization in μB/f.u.: 0.0
Calculated formation energy in eV per atom: -0.23

---

Repeat the fifth record exactly.
Density functional theory data (PBE) for crystalline CaFe2Ir at its relaxed geometry.

Unit cell a=9.379 b=3.071 c=5.083 alpha=90.00 beta=104.48 gamma=90.00
Space group C2/m (No. 12)
One atom of each set of equivalent atoms:
Ca (0.000, 0.000, 0.000) x2
Fe (0.219, 0.000, 0.646) x4
Ir (0.000, 0.500, 0.500) x2

Calculated values
Calculated volume in Å³/atom: 17.72
Fermi-level density of states in states/eV per cell: 6.920
Magnetization in μB/f.u.: 5.4
Calculated formation energy in eV per atom: 0.21

---

- Which formula does entry 4 have?
  ThNi2H

---

- Among the records above, which one has the highest Fermi-level density of states?
  Pa4Ga3Si